No. 1
Entry from the Alexandria database: an optimized crystal structure of RbSrBr3 (PBE).

```
RbSrBr3
1.0
-7.910 0.795 0.610
-1.806 -10.506 -0.359
-0.060 -1.516 10.557
Br Sr Rb
12 4 4
Cartesian
-4.809 -1.498 0.479
-8.819 -6.475 1.430
-3.866 -1.737 7.362
-4.967 -9.728 10.329
-0.957 -4.751 9.378
-2.273 -8.539 5.326
-3.937 -5.085 2.748
-9.208 -10.803 8.846
-0.568 -0.423 1.963
-5.839 -6.141 8.060
-7.503 -2.687 5.482
-5.910 -9.489 3.447
-7.599 -9.190 0.972
-3.332 -7.981 2.617
-2.177 -2.036 9.836
-6.444 -3.245 8.191
-2.681 -2.277 4.217
-6.995 -3.729 2.276
-7.095 -8.949 6.591
-2.781 -7.497 8.532
```

Output
Formation energy (no corrections) in eV/f.u.: -9.8
M_tot in μB per formula unit: 0.1
Calculated total energy in eV/atom: -3.49

---

No. 2
Entry from the Alexandria database: an optimized crystal structure of La2Pm2H (PBE).

```
La2Pm2H
1.0
-0.510 0.566 5.158
2.958 -4.208 0.754
4.245 3.000 0.091
La Pm H
2 2 1
Cartesian
-0.255 0.283 2.579
3.346 -0.321 3.002
1.479 -2.104 0.377
2.122 1.500 0.045
0.000 0.000 0.000
```

Output
M_tot in μB per formula unit: 0.0
Energy above the most stable polymorph in this dataset in meV/atom: 0
Calculated total energy in eV/atom: -4.72

---

No. 3
Entry from the Alexandria database: an optimized crystal structure of DyYCl3 (PBE).

```
DyYCl3
1.0
-1.097 -1.820 -3.206
6.692 -4.202 -2.211
-0.850 -9.033 3.112
Dy Cl Y
2 6 2
Cartesian
5.412 -8.335 -4.041
-0.667 -6.720 1.736
1.240 -3.862 -2.846
4.677 -8.631 -1.314
3.505 -11.193 0.541
0.614 -9.855 -1.537
4.131 -5.200 -0.768
0.068 -6.424 -0.990
4.572 -4.793 -3.457
0.173 -10.262 1.153
```

Output
Formation energy (no corrections) in eV/f.u.: -9.2
M_tot in μB per formula unit: 0.0
Calculated total energy in eV/atom: -5.16

---

No. 4
Entry from the Alexandria database: an optimized crystal structure of CdB2As (PBE).

```
CdB2As
1.0
5.302 0.000 0.000
0.000 5.302 0.000
2.651 2.651 4.592
B As Cd
4 2 2
Cartesian
1.584 3.977 1.148
3.718 1.326 1.148
3.977 4.235 3.444
6.628 6.369 3.444
2.651 5.302 2.296
2.651 2.651 0.000
5.302 2.651 2.296
0.000 0.000 0.000
```

Output
M_tot in μB per formula unit: 0.0
Energy above the most stable polymorph in this dataset in meV/atom: 0
ΔH_f (0 K) in eV per formula unit: 3.2
Calculated total energy in eV/atom: -3.92

---

No. 5
Entry from the Alexandria database: an optimized crystal structure of Y2ZrHg6 (PBE).

```
Y2ZrHg6
1.0
5.344 0.162 0.562
0.737 8.839 2.271
0.295 -0.415 9.141
Hg Zr Y
12 2 4
Cartesian
3.212 2.590 6.281
3.163 5.996 5.693
4.532 -0.021 7.483
2.793 7.807 8.291
5.355 5.590 10.277
2.190 6.799 2.078
4.185 1.787 9.896
3.582 0.779 3.683
1.020 2.995 1.697
0.658 4.981 4.165
5.717 3.605 7.809
1.843 8.607 4.491
4.695 7.934 3.454
1.679 0.651 8.520
2.869 4.535 8.691
5.651 6.908 7.270
0.724 1.678 4.704
3.506 4.050 3.283
```

Output
M_tot in μB per formula unit: 0.0
ΔH_f (0 K) in eV per formula unit: -2.4
Calculated total energy in eV/atom: -2.85

---

No. 6
Entry from the Alexandria database: an optimized crystal structure of PmZr3Sc7 (PBE).

```
PmZr3Sc7
1.0
7.829 0.000 0.000
0.000 6.475 0.000
0.000 -3.237 5.607
Pm Sc Zr
1 7 3
Cartesian
3.448 0.000 3.738
0.909 3.237 1.869
0.809 -1.623 4.675
0.809 1.623 4.675
3.607 3.237 3.725
3.607 4.844 0.941
3.607 1.630 0.941
0.809 0.000 1.864
6.175 4.829 2.788
6.175 1.645 2.788
6.175 3.237 0.031
```

Output
M_tot in μB per formula unit: 0.0
ΔH_f (0 K) in eV per formula unit: 2.8
Calculated total energy in eV/atom: -6.54

---

No. 7
Entry from the Alexandria database: an optimized crystal structure of MnGeMoH2 (PBE).

```
MnGeMoH2
1.0
-2.923 -1.673 0.857
0.481 -2.197 -2.649
2.702 -3.138 3.093
H Mo Ge Mn
2 1 1 1
Cartesian
-1.461 -0.836 0.428
0.240 -1.098 -1.324
1.351 -1.569 1.546
0.130 -3.504 0.650
0.000 0.000 0.000
```

Output
M_tot in μB per formula unit: 2.6
Calculated total energy in eV/atom: -5.75

---

No. 8
Entry from the Alexandria database: an optimized crystal structure of W3Cl (PBE).

```
W3Cl
1.0
3.625 -4.224 0.000
3.625 4.224 0.000
0.000 0.000 4.586
W Cl
6 2
Cartesian
2.876 -2.872 1.147
1.508 0.000 1.147
4.374 -2.872 3.440
5.742 0.000 3.440
4.374 2.872 3.440
2.876 2.872 1.147
4.432 0.000 1.147
2.818 0.000 3.440
```

Output
Formation energy (no corrections) in eV/f.u.: 3.1
M_tot in μB per formula unit: 0.0
Energy above the most stable polymorph in this dataset in meV/atom: 214
Calculated total energy in eV/atom: -9.39

---

No. 9
Entry from the Alexandria database: an optimized crystal structure of TbOsO6 (PBE).

```
TbOsO6
1.0
-0.245 0.555 4.384
4.202 -1.356 -0.311
0.874 4.653 -1.067
O Tb Os
6 1 1
Cartesian
2.525 0.410 0.400
3.981 2.723 0.837
1.415 2.785 0.206
3.416 1.068 2.801
2.305 3.443 2.607
0.850 1.130 2.170
0.000 0.000 0.000
2.415 1.927 1.503
```

Output
Formation energy (no corrections) in eV/f.u.: -11.2
M_tot in μB per formula unit: 0.0
Calculated total energy in eV/atom: -7.10

---

No. 10
Entry from the Alexandria database: an optimized crystal structure of CaAg2Pb (PBE).

```
CaAg2Pb
1.0
4.966 0.000 0.000
0.000 3.428 0.003
0.000 -0.010 5.888
Pb Ag Ca
1 2 1
Cartesian
2.483 2.564 4.419
0.000 2.568 0.087
0.000 2.569 2.862
2.483 0.855 1.473
```

Output
M_tot in μB per formula unit: 0.0
ΔH_f (0 K) in eV per formula unit: -0.7
Calculated total energy in eV/atom: -3.03

---

No. 11
Entry from the Alexandria database: an optimized crystal structure of Sm6AgC3 (PBE).

```
Sm6AgC3
1.0
-1.712 -0.642 -3.183
-1.776 -10.418 3.056
-9.519 5.592 3.991
Sm C Ag
12 6 2
Cartesian
-9.186 4.135 3.047
-10.311 -4.439 3.265
-4.793 -3.028 2.130
-6.730 -5.532 3.677
-2.441 -4.226 -1.010
-8.214 -2.439 1.734
-3.820 -9.603 0.817
-4.827 -6.181 0.668
-2.696 -1.028 0.599
-6.276 0.064 0.187
-10.565 -1.241 4.873
-8.179 0.713 3.196
-10.219 -0.593 2.440
-10.922 -3.789 5.579
-6.338 -0.861 2.524
-2.787 -4.875 1.424
-6.668 -4.607 1.340
-2.084 -1.679 -1.716
-7.762 2.862 0.422
-5.244 -8.330 3.442
```

Output
M_tot in μB per formula unit: 0.0
ΔH_f (0 K) in eV per formula unit: -0.8
Calculated total energy in eV/atom: -5.96

---

No. 12
Entry from the Alexandria database: an optimized crystal structure of Na2PmBiS4 (PBE).

```
Na2PmBiS4
1.0
-1.144 -3.828 -0.862
6.010 -2.439 2.857
-5.033 0.367 5.052
Na S Pm Bi
2 4 1 1
Cartesian
0.489 -1.036 3.954
-3.088 -1.731 2.095
-2.320 -0.345 4.610
0.109 -3.471 5.582
3.297 -1.728 3.299
-0.275 -2.429 1.465
2.433 -3.134 0.998
0.000 0.000 0.000
```

Output
Formation energy (no corrections) in eV/f.u.: -10.2
M_tot in μB per formula unit: 0.0
Calculated total energy in eV/atom: -4.75

---

No. 13
Entry from the Alexandria database: an optimized crystal structure of SiPRu2 (PBE).

```
SiPRu2
1.0
-1.488 -0.598 2.402
-2.277 -3.730 -2.339
1.165 -4.791 -0.470
Si Ru P
1 2 1
Cartesian
-1.300 -4.559 -0.204
0.000 0.000 0.000
-1.883 -2.164 0.031
0.582 -2.396 -0.235
```

Output
Formation energy (no corrections) in eV/f.u.: -1.3
M_tot in μB per formula unit: 0.0
Energy above the most stable polymorph in this dataset in meV/atom: 141
Calculated total energy in eV/atom: -7.68

---

No. 14
Entry from the Alexandria database: an optimized crystal structure of PrNd6Ag (PBE).

```
PrNd6Ag
1.0
8.652 0.599 -0.354
4.827 8.376 0.028
4.297 3.090 3.767
Ag Nd Pr
1 6 1
Cartesian
0.000 0.000 0.000
14.054 7.553 2.371
2.900 0.995 0.467
3.722 4.512 1.071
10.663 8.998 2.723
14.876 11.069 2.975
7.113 3.067 0.719
8.888 6.032 1.721
```

Output
M_tot in μB per formula unit: 0.0
ΔH_f (0 K) in eV per formula unit: 0.3
Calculated total energy in eV/atom: -4.50

---

No. 15
Entry from the Alexandria database: an optimized crystal structure of Ag2BiTeS2 (PBE).

```
Ag2BiTeS2
1.0
5.254 0.000 0.000
0.000 6.879 0.454
0.000 -2.064 8.642
Ag Bi S Te
4 2 4 2
Cartesian
1.313 -0.329 4.468
3.940 5.143 4.629
3.940 2.461 3.623
1.313 2.353 5.474
1.313 -0.956 7.655
3.940 5.771 1.441
2.602 1.158 1.467
2.651 3.656 7.629
5.229 3.656 7.629
0.025 1.158 1.467
3.940 0.591 5.734
1.313 4.223 3.363
```

Output
Formation energy (no corrections) in eV/f.u.: 0.4
M_tot in μB per formula unit: 0.0
Calculated total energy in eV/atom: -3.44

---

No. 16
Entry from the Alexandria database: an optimized crystal structure of In2PtCl2 (PBE).

```
In2PtCl2
1.0
8.338 0.000 0.000
0.000 8.338 0.000
0.000 0.000 3.358
In Cl Pt
4 4 2
Cartesian
1.657 5.826 1.679
5.826 6.681 1.679
2.512 1.657 1.679
6.681 2.512 1.679
3.155 7.324 0.000
1.014 3.155 0.000
5.183 1.014 0.000
7.324 5.183 0.000
4.169 4.169 0.000
0.000 0.000 0.000
```

Output
Formation energy (no corrections) in eV/f.u.: 0.3
M_tot in μB per formula unit: 0.0
Energy above the most stable polymorph in this dataset in meV/atom: 402
Calculated total energy in eV/atom: -2.99

---

No. 17
Entry from the Alexandria database: an optimized crystal structure of Nb2InN (PBE).

```
Nb2InN
1.0
-2.788 1.026 -1.260
-2.592 0.354 1.891
0.096 7.218 1.534
N In Nb
1 1 2
Cartesian
0.000 0.000 0.000
-2.642 4.299 1.082
-1.494 1.530 0.420
-3.790 7.069 1.745
```

Output
Formation energy (no corrections) in eV/f.u.: -2.0
M_tot in μB per formula unit: 0.0
Calculated total energy in eV/atom: -8.31

---

No. 18
Entry from the Alexandria database: an optimized crystal structure of PmSmBrN (PBE).

```
PmSmBrN
1.0
3.689 0.000 0.000
-1.844 3.195 0.000
-1.845 -1.065 7.279
Pm Br N Sm
1 1 1 1
Cartesian
0.348 -0.234 4.983
2.193 0.831 2.640
-1.497 0.832 6.390
-1.496 2.962 0.324
```

Output
Formation energy (no corrections) in eV/f.u.: -5.6
M_tot in μB per formula unit: 0.0
Calculated total energy in eV/atom: -6.27

---

No. 19
Entry from the Alexandria database: an optimized crystal structure of Ca2SmN (PBE).

```
Ca2SmN
1.0
-2.237 -2.737 -0.163
-0.650 -1.571 -3.103
6.610 -7.720 0.508
N Ca Sm
1 2 1
Cartesian
1.862 -6.014 -1.379
3.789 -5.379 -0.087
-0.065 -6.650 -2.672
0.000 0.000 0.000
```

Output
Formation energy (no corrections) in eV/f.u.: -1.7
M_tot in μB per formula unit: 0.0
Calculated total energy in eV/atom: -4.69

---

No. 20
Entry from the Alexandria database: an optimized crystal structure of YErRu2 (PBE).

```
YErRu2
1.0
-3.651 0.347 -3.089
0.789 -0.470 -4.707
-1.561 -3.899 -2.315
Ru Y Er
2 1 1
Cartesian
-2.211 -2.011 -5.056
0.788 -0.470 -4.707
-3.317 -3.017 -7.583
-1.106 -1.006 -2.528
```

Output
M_tot in μB per formula unit: 0.0
ΔH_f (0 K) in eV per formula unit: -1.3
Calculated total energy in eV/atom: -7.72

---

No. 21
Entry from the Alexandria database: an optimized crystal structure of La2Ce3Rh2 (PBE).

```
La2Ce3Rh2
1.0
3.945 0.000 1.109
1.553 5.685 2.048
-0.199 -0.406 8.283
Rh La Ce
2 2 3
Cartesian
3.501 0.693 2.690
1.798 4.586 8.749
3.999 2.510 8.492
1.300 2.770 2.947
1.973 0.000 0.554
2.590 4.747 5.930
2.709 0.532 5.509
```

Output
M_tot in μB per formula unit: 0.2
ΔH_f (0 K) in eV per formula unit: -3.0
Calculated total energy in eV/atom: -6.48

---

No. 22
Entry from the Alexandria database: an optimized crystal structure of BeF (PBE).

```
BeF
1.0
6.430 0.000 0.000
0.000 6.430 0.000
0.000 0.000 4.619
F Be
8 8
Cartesian
4.454 4.454 0.000
1.239 1.239 2.310
1.239 5.190 2.310
1.976 1.976 0.000
5.190 1.239 2.310
5.190 5.190 2.310
1.976 4.454 0.000
4.454 1.976 0.000
4.253 0.000 2.310
1.038 3.215 0.000
5.392 3.215 0.000
3.215 5.392 0.000
2.177 0.000 2.310
0.000 4.253 2.310
3.215 1.038 0.000
0.000 2.177 2.310
```

Output
Formation energy (no corrections) in eV/f.u.: -4.0
M_tot in μB per formula unit: 0.0
Energy above the most stable polymorph in this dataset in meV/atom: 0
Calculated total energy in eV/atom: -4.81

---

No. 23
Entry from the Alexandria database: an optimized crystal structure of NpGe2OsRh (PBE).

```
NpGe2OsRh
1.0
4.189 0.000 0.000
0.000 4.189 0.000
-2.094 -2.094 5.120
Ge Np Rh Os
2 1 1 1
Cartesian
2.094 2.094 1.267
0.000 0.000 3.852
0.000 0.000 0.000
0.000 2.094 2.560
2.094 0.000 2.560
```

Output
M_tot in μB per formula unit: 3.9
ΔH_f (0 K) in eV per formula unit: -1.5
Calculated total energy in eV/atom: -8.46

---

No. 24
Entry from the Alexandria database: an optimized crystal structure of Cd2HgPd2 (PBE).

```
Cd2HgPd2
1.0
-1.559 3.655 -0.185
-0.103 -0.244 -3.969
-6.843 -0.844 -1.764
Hg Cd Pd
1 2 2
Cartesian
0.000 0.000 0.000
-4.617 2.258 -2.013
-3.888 0.309 -3.905
-2.035 1.195 -2.014
-6.470 1.372 -3.903
```

Output
M_tot in μB per formula unit: 0.0
Energy above the most stable polymorph in this dataset in meV/atom: 216
ΔH_f (0 K) in eV per formula unit: -0.2
Calculated total energy in eV/atom: -2.55